Entry 1:
Density functional theory data (GGA-PBE) for a relaxed KMg2Ir crystal.

Cell and atoms, written as CIF:
```
data_KMg2Ir
_space_group_name_H-M_alt 'I -4 m 2'
_space_group_IT_number 119
_space_group_name_Hall 'I -4 -2'
_cell_length_a 4.573
_cell_length_b 4.573
_cell_length_c 8.271
_cell_angle_alpha 90.00
_cell_angle_beta 90.00
_cell_angle_gamma 90.00
loop_
_atom_site_label
_atom_site_type_symbol
_atom_site_fract_x
_atom_site_fract_y
_atom_site_fract_z
K1 K 0.000 0.000 0.000
Mg1 Mg 0.000 0.000 0.500
Mg2 Mg 0.000 0.500 0.750
Ir1 Ir 0.000 0.500 0.250
```

Calculated values
energy relative to the lowest polymorph listed for this composition = 481 meV per atom
calculated volume = 173 Å³/cell


Entry 2:
Density functional theory data (GGA-PBE) for a relaxed KMg2Ir crystal.

Cell and atoms, written as CIF:
```
data_KMg2Ir
_space_group_name_H-M_alt 'C m m 2'
_space_group_IT_number 35
_space_group_name_Hall 'C 2 -2'
_cell_length_a 3.281
_cell_length_b 4.997
_cell_length_c 10.636
_cell_angle_alpha 90.00
_cell_angle_beta 90.00
_cell_angle_gamma 90.00
loop_
_atom_site_label
_atom_site_type_symbol
_atom_site_fract_x
_atom_site_fract_y
_atom_site_fract_z
K1 K 0.000 0.000 0.000
Mg1 Mg 0.000 0.000 0.433
Mg2 Mg 0.000 0.500 0.684
Ir1 Ir 0.000 0.500 0.245
```

Calculated values
energy relative to the lowest polymorph listed for this composition = 367 meV per atom
calculated volume = 174 Å³/cell


Entry 3:
Density functional theory data (GGA-PBE) for a relaxed KMgIr2 crystal.

Cell and atoms, written as CIF:
```
data_KMgIr2
_space_group_name_H-M_alt 'I -4 2 d'
_space_group_IT_number 122
_space_group_name_Hall 'I -4 2bw'
_cell_length_a 4.663
_cell_length_b 4.663
_cell_length_c 18.827
_cell_angle_alpha 90.00
_cell_angle_beta 90.00
_cell_angle_gamma 90.00
loop_
_atom_site_label
_atom_site_type_symbol
_atom_site_fract_x
_atom_site_fract_y
_atom_site_fract_z
K1 K 0.000 0.000 0.000
Mg1 Mg 0.000 0.000 0.500
Ir1 Ir 0.080 0.750 0.625
```

Calculated values
calculated volume = 409 Å³/cell


Entry 4:
Density functional theory data (GGA-PBE) for a relaxed K2MgMnIr crystal.

Cell and atoms, written as CIF:
```
data_K2MgMnIr
_space_group_name_H-M_alt 'P 4/m m m'
_space_group_IT_number 123
_space_group_name_Hall '-P 4 2'
_cell_length_a 5.956
_cell_length_b 5.956
_cell_length_c 5.182
_cell_angle_alpha 90.00
_cell_angle_beta 90.00
_cell_angle_gamma 90.00
loop_
_atom_site_label
_atom_site_type_symbol
_atom_site_fract_x
_atom_site_fract_y
_atom_site_fract_z
K1 K 0.000 0.500 0.000
Mg1 Mg 0.000 0.000 0.000
Mn1 Mn 0.000 0.000 0.500
Ir1 Ir 0.500 0.500 0.500
```

Calculated values
calculated volume = 184 Å³/cell


Entry 5:
Density functional theory data (GGA-PBE) for a relaxed KMgIr2N crystal.

Cell and atoms, written as CIF:
```
data_KMgIr2N
_space_group_name_H-M_alt 'P 4/m m m'
_space_group_IT_number 123
_space_group_name_Hall '-P 4 2'
_cell_length_a 4.930
_cell_length_b 4.930
_cell_length_c 3.998
_cell_angle_alpha 90.00
_cell_angle_beta 90.00
_cell_angle_gamma 90.00
loop_
_atom_site_label
_atom_site_type_symbol
_atom_site_fract_x
_atom_site_fract_y
_atom_site_fract_z
K1 K 0.000 0.000 0.000
Mg1 Mg 0.500 0.500 0.500
Ir1 Ir 0.000 0.500 0.500
N1 N 0.500 0.500 0.000
```

Calculated values
calculated volume = 97 Å³/cell
raw formation energy = 1.79 eV/atom


Entry 6:
Density functional theory data (GGA-PBE) for a relaxed KNa2MgIr crystal.

Cell and atoms, written as CIF:
```
data_KNa2MgIr
_space_group_name_H-M_alt 'P 4/m m m'
_space_group_IT_number 123
_space_group_name_Hall '-P 4 2'
_cell_length_a 5.563
_cell_length_b 5.563
_cell_length_c 5.939
_cell_angle_alpha 90.00
_cell_angle_beta 90.00
_cell_angle_gamma 90.00
loop_
_atom_site_label
_atom_site_type_symbol
_atom_site_fract_x
_atom_site_fract_y
_atom_site_fract_z
K1 K 0.000 0.000 0.000
Na1 Na 0.000 0.500 0.500
Mg1 Mg 0.500 0.500 0.000
Ir1 Ir 0.000 0.000 0.500
```

Calculated values
calculated volume = 184 Å³/cell


Entry 7:
Density functional theory data (GGA-PBE) for a relaxed K2MgIrO4 crystal.

Cell and atoms, written as CIF:
```
data_K2MgIrO4
_space_group_name_H-M_alt 'I -4'
_space_group_IT_number 82
_space_group_name_Hall 'I -4'
_cell_length_a 6.146
_cell_length_b 6.146
_cell_length_c 6.927
_cell_angle_alpha 90.00
_cell_angle_beta 90.00
_cell_angle_gamma 90.00
loop_
_atom_site_label
_atom_site_type_symbol
_atom_site_fract_x
_atom_site_fract_y
_atom_site_fract_z
K1 K 0.000 0.000 0.000
K2 K 0.000 0.500 0.250
Mg1 Mg 0.000 0.500 0.750
Ir1 Ir 0.000 0.000 0.500
O1 O 0.124 0.280 0.563
```

Calculated values
calculated volume = 262 Å³/cell
raw formation energy = -1.41 eV/atom


Entry 8:
Density functional theory data (GGA-PBE) for a relaxed K3Mg2IrO6 crystal.

Cell and atoms, written as CIF:
```
data_K3Mg2IrO6
_space_group_name_H-M_alt 'C 1 2/m 1'
_space_group_IT_number 12
_space_group_name_Hall '-C 2y'
_cell_length_a 5.511
_cell_length_b 9.550
_cell_length_c 6.290
_cell_angle_alpha 90.00
_cell_angle_beta 106.99
_cell_angle_gamma 90.00
loop_
_atom_site_label
_atom_site_type_symbol
_atom_site_fract_x
_atom_site_fract_y
_atom_site_fract_z
K1 K 0.000 0.000 0.000
K2 K 0.000 0.330 0.000
Mg1 Mg 0.000 0.167 0.500
Ir1 Ir 0.000 0.500 0.500
O1 O 0.216 0.342 0.675
O2 O 0.244 0.000 0.677
```

Calculated values
calculated volume = 317 Å³/cell
raw formation energy = -1.64 eV/atom


Entry 9:
Density functional theory data (GGA-PBE) for a relaxed KMgIrO6 crystal.

Cell and atoms, written as CIF:
```
data_KMgIrO6
_space_group_name_H-M_alt 'C 1 2 1'
_space_group_IT_number 5
_space_group_name_Hall 'C 2y'
_cell_length_a 5.335
_cell_length_b 9.243
_cell_length_c 5.911
_cell_angle_alpha 90.00
_cell_angle_beta 90.03
_cell_angle_gamma 90.00
loop_
_atom_site_label
_atom_site_type_symbol
_atom_site_fract_x
_atom_site_fract_y
_atom_site_fract_z
K1 K 0.000 0.000 0.000
Mg1 Mg 0.000 0.332 0.500
Ir1 Ir 0.000 0.667 0.500
O1 O 0.115 0.514 0.320
O2 O 0.171 0.798 0.316
O3 O 0.217 0.186 0.316
```

Calculated values
calculated volume = 291 Å³/cell
raw formation energy = -1.03 eV/atom


Entry 10:
Density functional theory data (GGA-PBE) for a relaxed K2MgIrO6 crystal.

Cell and atoms, written as CIF:
```
data_K2MgIrO6
_space_group_name_H-M_alt 'F m -3 m'
_space_group_IT_number 225
_space_group_name_Hall '-F 4 2 3'
_cell_length_a 8.016
_cell_length_b 8.016
_cell_length_c 8.016
_cell_angle_alpha 90.00
_cell_angle_beta 90.00
_cell_angle_gamma 90.00
loop_
_atom_site_label
_atom_site_type_symbol
_atom_site_fract_x
_atom_site_fract_y
_atom_site_fract_z
K1 K 0.250 0.250 0.250
Mg1 Mg 0.000 0.000 0.000
Ir1 Ir 0.000 0.000 0.500
O1 O 0.000 0.000 0.263
```

Calculated values
calculated volume = 515 Å³/cell
raw formation energy = -1.31 eV/atom


Entry 11:
Density functional theory data (GGA-PBE) for a relaxed KMg2SbIr crystal.

Cell and atoms, written as CIF:
```
data_KMg2SbIr
_space_group_name_H-M_alt 'P 4/m m m'
_space_group_IT_number 123
_space_group_name_Hall '-P 4 2'
_cell_length_a 5.163
_cell_length_b 5.163
_cell_length_c 5.126
_cell_angle_alpha 90.00
_cell_angle_beta 90.00
_cell_angle_gamma 90.00
loop_
_atom_site_label
_atom_site_type_symbol
_atom_site_fract_x
_atom_site_fract_y
_atom_site_fract_z
K1 K 0.000 0.000 0.000
Mg1 Mg 0.000 0.500 0.500
Sb1 Sb 0.500 0.500 0.000
Ir1 Ir 0.500 0.500 0.500
```

Calculated values
calculated volume = 137 Å³/cell
raw formation energy = -0.18 eV/atom


Entry 12:
Density functional theory data (GGA-PBE) for a relaxed KMg2SiIr crystal.

Cell and atoms, written as CIF:
```
data_KMg2SiIr
_space_group_name_H-M_alt 'P 4/m m m'
_space_group_IT_number 123
_space_group_name_Hall '-P 4 2'
_cell_length_a 5.324
_cell_length_b 5.324
_cell_length_c 4.737
_cell_angle_alpha 90.00
_cell_angle_beta 90.00
_cell_angle_gamma 90.00
loop_
_atom_site_label
_atom_site_type_symbol
_atom_site_fract_x
_atom_site_fract_y
_atom_site_fract_z
K1 K 0.000 0.000 0.000
Mg1 Mg 0.000 0.500 0.000
Si1 Si 0.500 0.500 0.500
Ir1 Ir 0.000 0.000 0.500
```

Calculated values
energy relative to the lowest polymorph listed for this composition = 2163 meV per atom
calculated volume = 134 Å³/cell
raw formation energy = 1.91 eV/atom


Entry 13:
Density functional theory data (GGA-PBE) for a relaxed K2MgSiIr crystal.

Cell and atoms, written as CIF:
```
data_K2MgSiIr
_space_group_name_H-M_alt 'P 4/m m m'
_space_group_IT_number 123
_space_group_name_Hall '-P 4 2'
_cell_length_a 6.117
_cell_length_b 6.117
_cell_length_c 4.778
_cell_angle_alpha 90.00
_cell_angle_beta 90.00
_cell_angle_gamma 90.00
loop_
_atom_site_label
_atom_site_type_symbol
_atom_site_fract_x
_atom_site_fract_y
_atom_site_fract_z
K1 K 0.000 0.500 0.000
Mg1 Mg 0.000 0.000 0.000
Si1 Si 0.500 0.500 0.500
Ir1 Ir 0.000 0.000 0.500
```

Calculated values
calculated volume = 179 Å³/cell
raw formation energy = 1.16 eV/atom


Entry 14:
Density functional theory data (GGA-PBE) for a relaxed KMg2SiIr crystal.

Cell and atoms, written as CIF:
```
data_KMg2SiIr
_space_group_name_H-M_alt 'P 4/m m m'
_space_group_IT_number 123
_space_group_name_Hall '-P 4 2'
_cell_length_a 5.158
_cell_length_b 5.158
_cell_length_c 4.605
_cell_angle_alpha 90.00
_cell_angle_beta 90.00
_cell_angle_gamma 90.00
loop_
_atom_site_label
_atom_site_type_symbol
_atom_site_fract_x
_atom_site_fract_y
_atom_site_fract_z
K1 K 0.000 0.000 0.000
Mg1 Mg 0.000 0.500 0.500
Si1 Si 0.500 0.500 0.000
Ir1 Ir 0.500 0.500 0.500
```

Calculated values
energy relative to the lowest polymorph listed for this composition = 0 meV per atom
calculated volume = 123 Å³/cell
raw formation energy = -0.25 eV/atom


Calculated total energy, respectively: -2.8195 -2.9335 -4.5270 -2.7527 -3.9562 -2.0834 -5.4683 -5.4008 -5.6174 -5.5497 -3.6323 -1.8032 -2.4530 -3.9663 eV/atom.